The following is a DFT calculation (PBE) of a geometry-optimized YTaCu2 structure.

Calculated values
Calculated total energy ... -25.6 eV for the cell shown
ρ ... 9.37 g/cm³
Distance to the lowest polymorph of the same formula ... 149 meV per atom

extended XYZ file:
```
4
Lattice="-1.565 2.300 4.887 1.565 -2.300 4.887 1.565 2.300 -4.887" Properties=species:S:1:pos:R:3 pbc="T T T"
Y 0.000 0.000 0.000
Ta 0.000 2.300 2.200
Cu 1.565 0.000 2.666
Cu 0.000 0.000 4.631
```